{
  "formula": "B5C7",
  "functional": "GGA-PBE",
  "state": "optimized geometry",
  "cell": [[3.8945, -0.0176, -2.1138], [3.1050, 2.3508, -2.1138], [-0.0518, -0.0173, 8.3317]],
  "species": ["B", "B", "B", "B", "B", "C", "C", "C", "C", "C", "C", "C"],
  "frac_coords": [[0.2020, 0.2020, 0.2486], [0.6379, 0.6379, 0.3588], [0.3170, 0.3170, 0.1274], [0.5182, 0.5182, 0.8514], [0.0313, 0.0313, 0.0098], [0.8451, 0.8451, 0.0180], [0.3270, 0.3270, 0.6602], [0.4608, 0.4608, 0.3911], [0.6820, 0.6820, 0.8149], [0.9801, 0.9801, 0.5099], [0.8272, 0.8272, 0.5592], [0.1714, 0.1714, 0.7007]],
  "rho_g_cm3": 3.00,
  "magmom_total_mub_per_fu": 0.00,
  "ef_ev_per_atom": 0.3734,
  "energy_ev_per_atom": -7.790
}